# Y7Er2In2

A geometry-optimized Y7Er2In2 structure (PBE-GGA, Alexandria).

Results
D(E_F), states/eV/cell: 10.82
Magnetization, μB per atom: 0.000
ρ, g cm⁻³: 5.860
ΔE_f, eV per atom: -0.164
Space-group type: No. 12
V, A^3/atom: 30.6

Lattice parameters (Å, degrees): 8.4423 6.5181 6.5181 97.72 77.68 77.68
Last column: nearest neighbours and their distance in Å.
Element x y z (fractional)
Y 0.1731 0.1209 0.4807  3 In 3.28-3.49, 1 Er 3.38, 3 Y 3.53-3.65
Y 0.8269 0.5193 0.8791  3 In 3.28-3.49, 1 Er 3.38, 3 Y 3.53-3.65
Y 0.8269 0.8791 0.5193  3 In 3.28-3.49, 1 Er 3.38, 3 Y 3.53-3.65
Y 0.1731 0.4807 0.1209  3 In 3.28-3.49, 1 Er 3.38, 3 Y 3.53-3.65
Y 0.0000 0.0000 0.0000  2 In 3.09, 2 Y 3.36
Y 0.4203 0.8567 0.8567  2 Y 3.16-3.36, 1 In 3.33, 4 Er 3.42-3.49
Y 0.5797 0.1433 0.1433  2 Y 3.16-3.36, 1 In 3.33, 4 Er 3.42-3.49
Er 0.5000 0.3164 0.6836  2 In 3.17, 6 Y 3.38-3.49
Er 0.5000 0.6836 0.3164  2 In 3.17, 6 Y 3.38-3.49
In 0.8261 0.3775 0.3775  6 Y 3.09-3.33, 2 Er 3.17
In 0.1739 0.6225 0.6225  6 Y 3.09-3.33, 2 Er 3.17